An optimized crystal structure of FePOF2, computed with PBE with a Hubbard U.

Values from the calculation:
Spin magnetization: 4.7 μB per cell
Polymorph energy (0 for the lowest one): 0.17 eV per formula unit

Cell and atoms, written as CIF:
```
data_FePOF2
_chemical_formula_sum 'Fe1 P1 O1 F2'
_cell_length_a 4.473
_cell_length_b 4.473
_cell_length_c 3.488
_cell_angle_alpha 90.00
_cell_angle_beta 90.00
_cell_angle_gamma 90.00
_symmetry_space_group_name_H-M 'P 4/m m m'
_symmetry_Int_Tables_number 123
_symmetry_space_group_name_Hall '-P 4 2'
loop_
_atom_site_label
_atom_site_type_symbol
_atom_site_fract_x
_atom_site_fract_y
_atom_site_fract_z
Fe1 Fe 0.000 0.000 0.000
P1 P 0.500 0.500 0.500
O1 O 0.500 0.500 0.000
F1 F 0.000 0.500 0.500
```